No. 1
Computed, not measured: Tb5Mg12Ga3 after structural relaxation at the PBE-GGA level of DFT.

```
Tb5Mg12Ga3
1.0
-8.687 8.687 8.687
8.687 -8.687 8.687
8.687 8.687 -8.687
Tb Mg Ga
20 48 12
Direct
0.000 0.000 0.000
0.000 0.000 0.500
0.000 0.500 0.000
0.000 0.500 0.500
0.125 0.750 0.875
0.125 0.875 0.250
0.250 0.125 0.875
0.250 0.625 0.375
0.375 0.250 0.625
0.375 0.625 0.750
0.500 0.000 0.000
0.500 0.000 0.500
0.500 0.500 0.000
0.500 0.500 0.500
0.625 0.375 0.250
0.625 0.750 0.375
0.750 0.375 0.625
0.750 0.875 0.125
0.875 0.125 0.750
0.875 0.250 0.125
0.048 0.638 0.392
0.048 0.911 0.656
0.089 0.245 0.138
0.089 0.344 0.952
0.108 0.745 0.656
0.108 0.862 0.452
0.138 0.089 0.245
0.138 0.548 0.892
0.156 0.245 0.608
0.156 0.411 0.548
0.245 0.138 0.089
0.245 0.608 0.156
0.255 0.344 0.892
0.255 0.411 0.362
0.344 0.892 0.255
0.344 0.952 0.089
0.362 0.255 0.411
0.362 0.608 0.952
0.392 0.048 0.638
0.392 0.844 0.755
0.411 0.362 0.255
0.411 0.548 0.156
0.452 0.108 0.862
0.452 0.844 0.589
0.548 0.156 0.411
0.548 0.892 0.138
0.589 0.452 0.844
0.589 0.638 0.745
0.608 0.156 0.245
0.608 0.952 0.362
0.638 0.392 0.048
0.638 0.745 0.589
0.656 0.048 0.911
0.656 0.108 0.745
0.745 0.589 0.638
0.745 0.656 0.108
0.755 0.392 0.844
0.755 0.862 0.911
0.844 0.589 0.452
0.844 0.755 0.392
0.862 0.452 0.108
0.862 0.911 0.755
0.892 0.138 0.548
0.892 0.255 0.344
0.911 0.656 0.048
0.911 0.755 0.862
0.952 0.089 0.344
0.952 0.362 0.608
0.125 0.250 0.375
0.125 0.375 0.750
0.250 0.375 0.125
0.250 0.875 0.625
0.375 0.125 0.250
0.375 0.750 0.125
0.625 0.250 0.875
0.625 0.875 0.750
0.750 0.125 0.375
0.750 0.625 0.875
0.875 0.625 0.250
0.875 0.750 0.625
```

Values from the calculation:
Magnetization, μB/cell: 0.0
Total energy, hartree per atom: -0.073
Energy of formation from the pure elements, meV per atom: 595

No. 2
Computed, not measured: RbHfTlBr6 after structural relaxation at the PBE-GGA level of DFT.

```
RbHfTlBr6
1.0
7.995 0.000 0.000
-3.998 6.924 0.000
0.000 0.000 13.643
Rb Hf Tl Br
2 2 2 12
Direct
0.000 0.000 0.000
0.000 0.000 0.500
0.333 0.667 0.250
0.667 0.333 0.750
0.333 0.667 0.750
0.667 0.333 0.250
0.064 0.401 0.138
0.064 0.663 0.362
0.337 0.401 0.362
0.337 0.936 0.138
0.401 0.064 0.638
0.401 0.337 0.862
0.599 0.663 0.138
0.599 0.936 0.362
0.663 0.064 0.862
0.663 0.599 0.638
0.936 0.337 0.638
0.936 0.599 0.862
```

Values from the calculation:
Magnetization, μB/cell: 0.0
Total energy, hartree per atom: -0.147
ΔE_f (raw), kJ per mole of atoms: -134.75

Which of these has the highest total energy? Tb5Mg12Ga3

The highest total energy belongs to which entry? Tb5Mg12Ga3

Which of these has the highest total energy? Tb5Mg12Ga3